# LiNiP2O7

LiNiP2O7 after structural relaxation (PBE with a Hubbard U, Alexandria).

## Properties
- energy (eV/cell) = -141.7
- SG = P-1 (2)
- total magnetization (Bohr magnetons per cell) = 1.92
- E above lowest polymorph (kJ/mol of atoms) = 0.8

a b c (Å): 6.357 6.420 6.897
angles (deg): 84.49 67.00 81.70
Positions (direct):
Li: 0.213 0.007 0.327
Li: 0.787 0.993 0.673
Ni: 0.406 0.355 0.716
Ni: 0.594 0.645 0.284
P: 0.155 0.607 0.144
P: 0.289 0.865 0.733
P: 0.711 0.135 0.267
P: 0.845 0.393 0.856
O: 0.094 0.402 0.700
O: 0.116 0.954 0.636
O: 0.140 0.787 0.969
O: 0.267 0.401 0.035
O: 0.281 0.689 0.265
O: 0.437 0.026 0.749
O: 0.446 0.668 0.620
O: 0.554 0.332 0.380
O: 0.563 0.974 0.251
O: 0.719 0.311 0.735
O: 0.733 0.599 0.965
O: 0.860 0.213 0.031
O: 0.884 0.046 0.364
O: 0.906 0.598 0.300